Record 1
Ti4Al11V9 (PBE, optimized geometry); density = 4.42 g/cm³; crystal system = orthorhombic; total DFT energy (no corrections) = -6.67 eV per atom
1.0
8.027 -8.271 0.000
8.027 8.271 0.000
0.000 0.000 2.680
Ti Al V
4 11 9
direct
0.045 0.782 0.000
0.218 0.955 0.000
0.782 0.045 0.000
0.955 0.218 0.000
0.086 0.576 0.500
0.158 0.158 0.500
0.258 0.742 0.500
0.330 0.330 0.500
0.424 0.914 0.500
0.500 0.500 0.500
0.576 0.086 0.500
0.670 0.670 0.500
0.742 0.258 0.500
0.842 0.842 0.500
0.914 0.424 0.500
0.000 0.000 0.000
0.127 0.375 0.000
0.293 0.537 0.000
0.375 0.127 0.000
0.463 0.707 0.000
0.537 0.293 0.000
0.625 0.873 0.000
0.707 0.463 0.000
0.873 0.625 0.000

=====

Record 2
Al2FeTe (PBE, optimized geometry); density = 5.25 g/cm³; energy relative to the elements, uncorrected = 0.21 eV/atom; crystal system = monoclinic; total DFT energy (no corrections) = -4.57 eV per atom
1.0
4.071 -1.750 0.000
4.071 1.750 0.000
-1.318 0.000 5.267
Al Fe Te
2 1 1
direct
0.226 0.226 0.165
0.774 0.774 0.835
0.500 0.500 0.000
0.000 0.000 0.500

=====

Record 3
Li2ZrCo (PBE, optimized geometry); density = 4.11 g/cm³; crystal system = tetragonal; ΔE to the lowest computed polymorph = 1.29 eV/f.u.; total DFT energy (no corrections) = -4.49 eV per atom
1.0
2.700 0.000 0.000
0.000 2.700 0.000
0.000 0.000 9.082
Li Zr Co
2 1 1
direct
0.000 0.000 0.208
0.000 0.000 0.792
0.500 0.500 0.500
0.500 0.500 0.000

=====

Record 4
Tm4ThPd15 (PBE, optimized geometry); density = 11.90 g/cm³; crystal system = tetragonal; total DFT energy (no corrections) = -6.10 eV per atom
1.0
4.129 0.000 0.000
0.000 4.129 0.000
0.000 0.000 20.493
Tm Th Pd
4 1 15
direct
0.000 0.000 0.099
0.000 0.000 0.296
0.000 0.000 0.704
0.000 0.000 0.901
0.000 0.000 0.500
0.000 0.500 0.000
0.000 0.500 0.198
0.000 0.500 0.397
0.000 0.500 0.603
0.000 0.500 0.802
0.500 0.000 0.000
0.500 0.000 0.198
0.500 0.000 0.397
0.500 0.000 0.603
0.500 0.000 0.802
0.500 0.500 0.099
0.500 0.500 0.297
0.500 0.500 0.500
0.500 0.500 0.703
0.500 0.500 0.901

=====

Record 5
PrMg2CdHg4 (PBE, optimized geometry); density = 9.55 g/cm³; crystal system = trigonal; total DFT energy (no corrections) = -1.53 eV per atom
1.0
2.468 1.425 9.100
-2.468 1.425 9.100
0.000 -2.850 9.100
Pr Mg Cd Hg
1 2 1 4
direct
0.000 0.000 0.000
0.244 0.244 0.244
0.756 0.756 0.756
0.500 0.500 0.500
0.124 0.124 0.124
0.385 0.385 0.385
0.615 0.615 0.615
0.876 0.876 0.876

=====

Record 6
Rb2Sb2Cl (PBE, optimized geometry); density = 4.00 g/cm³; energy relative to the elements, uncorrected = -0.87 eV/atom; crystal system = tetragonal; total DFT energy (no corrections) = -3.28 eV per atom
1.0
-2.147 2.147 10.137
2.147 -2.147 10.137
2.147 2.147 -10.137
Rb Sb Cl
2 2 1
direct
0.093 0.093 0.000
0.907 0.907 0.000
0.250 0.750 0.500
0.750 0.250 0.500
0.500 0.500 0.000

=====

Record 7
Er6Pt2S (PBE, optimized geometry); density = 10.36 g/cm³; energy relative to the elements, uncorrected = -1.06 eV/atom; crystal system = monoclinic; total DFT energy (no corrections) = -5.90 eV per atom
1.0
6.444 0.000 0.000
0.000 7.142 0.000
-5.891 0.000 9.929
Er Pt S
12 4 2
direct
0.096 0.188 0.433
0.096 0.312 0.933
0.252 0.669 0.428
0.252 0.831 0.928
0.393 0.038 0.244
0.393 0.462 0.744
0.607 0.538 0.256
0.607 0.962 0.756
0.748 0.169 0.072
0.748 0.331 0.572
0.904 0.688 0.067
0.904 0.812 0.567
0.179 0.114 0.735
0.179 0.386 0.235
0.821 0.614 0.765
0.821 0.886 0.265
0.500 0.000 0.500
0.500 0.500 0.000

=====

Record 8
ZnHgRu2 (PBE, optimized geometry); density = 11.93 g/cm³; crystal system = trigonal; ΔE to the lowest computed polymorph = 0.40 eV/f.u.; total DFT energy (no corrections) = -4.79 eV per atom
1.0
1.419 0.819 9.348
-1.419 0.819 9.348
0.000 -1.638 9.348
Zn Hg Ru
1 1 2
direct
0.000 0.000 0.000
0.763 0.763 0.763
0.257 0.257 0.257
0.520 0.520 0.520

=====

Record 9
Al3SiPt (PBE, optimized geometry); density = 4.74 g/cm³; energy relative to the elements, uncorrected = 0.11 eV/atom; crystal system = cubic; ΔE to the lowest computed polymorph = 0.00 eV/f.u.; total DFT energy (no corrections) = -4.43 eV per atom
1.0
4.741 0.000 0.000
0.000 4.741 0.000
0.000 0.000 4.741
Al Si Pt
3 1 1
direct
0.000 0.000 0.500
0.000 0.500 0.000
0.500 0.000 0.000
0.500 0.500 0.500
0.000 0.000 0.000

=====

Record 10
Pr4NpBi5 (PBE, optimized geometry); density = 8.80 g/cm³; crystal system = orthorhombic; total DFT energy (no corrections) = -5.89 eV per atom
1.0
-2.310 3.263 11.550
2.310 -3.263 11.550
2.310 3.263 -11.550
Pr Np Bi
4 1 5
direct
0.100 0.100 0.000
0.300 0.300 0.000
0.700 0.700 0.000
0.900 0.900 0.000
0.500 0.500 0.000
0.000 0.500 0.500
0.201 0.701 0.500
0.403 0.903 0.500
0.597 0.097 0.500
0.799 0.299 0.500

=====

Record 11
CsHg3Au (PBE, optimized geometry); density = 9.39 g/cm³; crystal system = monoclinic; ΔE to the lowest computed polymorph = 0.17 eV/f.u.; total DFT energy (no corrections) = -1.20 eV per atom
1.0
8.204 -6.163 0.000
8.204 6.163 0.000
-3.185 0.000 6.515
Cs Hg Au
4 12 4
direct
0.083 0.646 0.865
0.354 0.917 0.635
0.646 0.083 0.365
0.917 0.354 0.135
0.037 0.232 0.634
0.232 0.037 0.134
0.254 0.565 0.409
0.294 0.294 0.044
0.294 0.294 0.544
0.435 0.746 0.091
0.565 0.254 0.909
0.706 0.706 0.456
0.706 0.706 0.956
0.746 0.435 0.591
0.768 0.963 0.866
0.963 0.768 0.366
0.000 0.000 0.250
0.000 0.000 0.750
0.500 0.500 0.250
0.500 0.500 0.750

=====

Record 12
CePuMgGe (PBE, optimized geometry); density = 8.09 g/cm³; crystal system = cubic; total DFT energy (no corrections) = -6.78 eV per atom
1.0
0.000 3.668 3.668
3.668 0.000 3.668
3.668 3.668 0.000
Ce Pu Mg Ge
1 1 1 1
direct
0.000 0.000 0.000
0.500 0.500 0.500
0.750 0.750 0.750
0.250 0.250 0.250

=====

The highest total DFT energy (no corrections) belongs to which entry?
CsHg3Au

=====

Number 1 is which compound?
Ti4Al11V9

=====

Look up the total DFT energy (no corrections) of the tenth one.
-5.89 eV per atom

=====

The lowest density belongs to which entry?
Rb2Sb2Cl